The following is a DFT calculation (PBE-GGA) of crystalline SrHoCuSeS2 at its relaxed geometry.

Results
Space group: Cmcm (63)
Final energy, eV for the cell shown: -63.064
Magnetization, Bohr magnetons per cell: 0.004

a b c (Å): 6.9718 6.9718 10.4858
angles (deg): 90.00 90.00 146.91
Atoms (fractional coordinates):
Cu 0.4725 0.5275 0.2500
Cu 0.5275 0.4725 0.7500
Ho 0.0000 0.0000 0.0000
Ho 0.0000 0.0000 0.5000
S 0.3694 0.6306 0.0713
S 0.3694 0.6306 0.4287
S 0.6306 0.3694 0.5713
S 0.6306 0.3694 0.9287
Se 0.0859 0.9141 0.2500
Se 0.9141 0.0859 0.7500
Sr 0.7639 0.2361 0.2500
Sr 0.2361 0.7639 0.7500